# 1
Computed, not measured: TlTcSe after structural relaxation at the GGA-PBE level of DFT.

Output
The excess energy over the best structure of this formula in the dataset comes out at 1 kJ/mol of formula units. The value obtained for the formation energy from raw total energies is 0.090 eV per atom.

a b c (Å): 3.3100 3.3100 6.6555
angles (deg): 90.00 90.00 120.00
Last column: nearest neighbours and their distance in Å.
Sites, in units of the cell vectors:
1 Se 0.0000 0.0000 0.0660  3 Tc 2.44
2 Tc 0.3333 0.6667 0.2946  3 Se 2.44
3 Tl 0.6667 0.3333 0.6394  3 Tc 2.99, 6 Tl 3.31



# 2
Computed, not measured: TlTc3Se after structural relaxation at the GGA-PBE level of DFT.

Output
The excess energy over the best structure of this formula in the dataset comes out at 701 kJ/mol of formula units. The value obtained for the formation energy from raw total energies is 2.462 eV per atom.

a b c (Å): 5.1602 5.1602 5.1602
angles (deg): 90.00 90.00 90.00
Last column: nearest neighbours and their distance in Å.
Sites, in units of the cell vectors:
1 Tl 0.0000 0.0000 0.0000  6 Tc 2.58
2 Tc 0.0000 0.5000 0.0000  2 Tl 2.58
3 Tc 0.0000 0.0000 0.5000  2 Tl 2.58
4 Tc 0.5000 0.0000 0.0000  2 Tl 2.58
5 Se 0.5000 0.5000 0.5000  12 Tc 3.65



# 3
Computed, not measured: TlTcSe2 after structural relaxation at the GGA-PBE level of DFT.

Output
The excess energy over the best structure of this formula in the dataset comes out at 196 kJ/mol of formula units. The value obtained for the formation energy from raw total energies is 0.178 eV per atom.

a b c (Å): 3.0707 3.0707 9.2646
angles (deg): 90.00 90.00 90.02
Last column: nearest neighbours and their distance in Å.
Sites, in units of the cell vectors:
1 Se 0.0000 0.0000 0.9906  4 Se 3.07, 4 Tl 3.39
2 Se 0.5000 0.5000 0.3299  4 Tc 2.53
3 Tc 0.0000 0.0000 0.4699  4 Se 2.53
4 Tl 0.5000 0.5000 0.7096  4 Tl 3.07, 4 Tc 3.11, 4 Se 3.39



# 4
Computed, not measured: TlTc4Se after structural relaxation at the GGA-PBE level of DFT.

Output
The value obtained for the formation energy from raw total energies is 0.709 eV per atom.

a b c (Å): 5.2655 5.2655 5.2655
angles (deg): 60.00 60.00 60.00
Last column: nearest neighbours and their distance in Å.
Sites, in units of the cell vectors:
1 Tl 0.7500 0.7500 0.7500  12 Tc 3.09, 4 Se 3.22
2 Tc 0.8798 0.3734 0.3734  6 Tc 2.60-2.67
3 Tc 0.3734 0.3734 0.8798  6 Tc 2.60-2.67
4 Tc 0.3734 0.8798 0.3734  6 Tc 2.60-2.67
5 Tc 0.3734 0.3734 0.3734  6 Tc 2.60-2.67
6 Se 0.0000 0.0000 0.0000  12 Tc 3.08, 4 Tl 3.22